(1)
Here is a relaxed Ca2CuBr crystal from Alexandria via LeMat-Bulk. Energies are from PBE.

The calculation puts the uncorrected formation energy at -0.47 eV per atom. As for the relative energy among the computed polymorphs: 249 meV per atom.

It has space group P4mm (No. 99), with a = 3.753 Å, b = 3.753 Å, c = 8.610 Å, α = 90.00°, β = 90.00° and γ = 90.00°. Symmetry generates all atoms from Ca at (0.000, 0.000, 0.000), Ca at (0.500, 0.500, 0.364), Cu at (0.000, 0.000, 0.522) and Br at (0.500, 0.500, 0.830).



(2)
Here is a relaxed CuGeN2 crystal from Alexandria via LeMat-Bulk. Energies are from PBE.

The calculation puts the uncorrected formation energy at 0.46 eV per atom.

It has space group R-3m (No. 166, hexagonal axes), with a = 2.9852 Å, b = 2.9852 Å, c = 17.3321 Å, α = 90.00°, β = 90.00° and γ = 120.00°. Symmetry generates all atoms from Cu at (0.0000, 0.0000, 0.0000), Ge at (0.0000, 0.0000, 0.5000) and N at (0.0000, 0.0000, 0.1056).



(3)
Here is a relaxed Li2H4PdPt2 crystal from Alexandria via LeMat-Bulk. Energies are from PBE.

The value obtained for the total energy is -4.085 eV/atom.

It has space group C2/m (No. 12), with a = 13.713 Å, b = 3.310 Å, c = 4.382 Å, α = 90.00°, β = 97.15° and γ = 90.00°. Symmetry generates all atoms from Li at (0.160, 0.000, 0.485), H at (0.065, 0.500, 0.174), H at (0.127, 0.000, 0.901), Pd at (0.000, 0.000, 0.000) and Pt at (0.172, 0.500, 0.005).



(4)
Here is a relaxed Sr2ScIr crystal from Alexandria via LeMat-Bulk. Energies are from PBE.

As for the relative energy among the computed polymorphs: 0 meV per atom.

It has space group Pm (No. 6), with a = 3.943 Å, b = 3.685 Å, c = 9.206 Å, α = 90.00°, β = 102.31° and γ = 90.00°. Symmetry generates all atoms from Sr at (0.000, 0.000, 0.000), Sr at (0.306, 0.500, 0.614), Sc at (0.642, 0.500, 0.286) and Ir at (0.166, 0.000, 0.335).



(5)
Here is a relaxed NpVCoP2 crystal from Alexandria via LeMat-Bulk. Energies are from PBE.

The value obtained for the total energy is -8.691 eV/atom.

It has space group I-4m2 (No. 119), with a = 3.778 Å, b = 3.778 Å, c = 10.539 Å, α = 90.00°, β = 90.00° and γ = 90.00°. Symmetry generates all atoms from Np at (0.000, 0.000, 0.000), V at (0.000, 0.500, 0.750), Co at (0.000, 0.500, 0.250) and P at (0.000, 0.000, 0.376).



(6)
Here is a relaxed Cu2Bi2SbO6 crystal from Alexandria via LeMat-Bulk. Energies are from PBE.

The calculation puts the uncorrected formation energy at -0.78 eV per atom.

It has space group R-3m (No. 166, hexagonal axes), with a = 6.0329 Å, b = 6.0329 Å, c = 14.9537 Å, α = 90.00°, β = 90.00° and γ = 120.00°. Symmetry generates all atoms from Cu at (0.0000, 0.0000, 0.0970), Bi at (0.0000, 0.0000, 0.2911), Sb at (0.0000, 0.0000, 0.5000) and O at (0.0388, 0.5194, 0.2559).



(7)
Here is a relaxed Na2HfPb crystal from Alexandria via LeMat-Bulk. Energies are from PBE.

The value obtained for the total energy is -3.446 eV/atom.

It has space group I-42d (No. 122), with a = 8.773 Å, b = 8.773 Å, c = 5.903 Å, α = 90.00°, β = 90.00° and γ = 90.00°. Symmetry generates all atoms from Na at (0.231, 0.750, 0.125), Hf at (0.000, 0.000, 0.500) and Pb at (0.000, 0.000, 0.000).



(8)
Here is a relaxed CdInBr3 crystal from Alexandria via LeMat-Bulk. Energies are from PBE.

The calculation puts the uncorrected formation energy at -0.75 eV per atom. As for the relative energy among the computed polymorphs: 24 meV per atom.

It has space group P1 (No. 1), with a = 4.973 Å, b = 8.716 Å, c = 8.720 Å, α = 74.17°, β = 89.04° and γ = 89.01°. Symmetry generates all atoms from Cd at (0.000, 0.000, 0.000), Cd at (0.001, 0.633, 0.366), In at (0.171, 0.103, 0.470), In at (0.828, 0.530, 0.897), Br at (0.255, 0.709, 0.075), Br at (0.262, 0.252, 0.009), Br at (0.262, 0.641, 0.618), Br at (0.737, 0.381, 0.358), Br at (0.737, 0.992, 0.748) and Br at (0.745, 0.923, 0.291).



Result set for theoretical density: 3.06; 6.12; 8.66; 5.24; 9.03; 8.06; 6.31; 4.27 Mg/m³, one per record in the order listed.
Result set for total magnetization: 0.000; 0.000; 0.000; 0.000; 1.003; 0.000; 0.189; 0.000 μB/atom, one per record in the order listed.